No. 1
Entry from Alexandria: a relaxed structure of CdP (PBE).

Computed properties:
For the total magnetization, the calculation gives 0.00 Bohr magnetons per cell. The crystal system is trigonal. The calculation puts the relative energy among the computed polymorphs at 0.185 eV/f.u. The formation energy is 51 meV/atom.

abc: 4.4218 4.4218 18.3654
angles: 90.00 90.00 120.00
Space group R-3m (No. 166, hexagonal axes)
Inequivalent atoms, fractional coordinates:
Cd  0.0000  0.0000  0.0857 x6
P  0.0000  0.0000  0.4384 x6


No. 2
Entry from Alexandria: a relaxed structure of TlWCl2 (PBE).

Computed properties:
For the total magnetization, the calculation gives 0.00 Bohr magnetons per cell. The crystal system is monoclinic. The calculation puts the relative energy among the computed polymorphs at 0.865 eV/f.u. The formation energy without anion corrections comes out at 4.8 kcal/mol of atoms.

abc: 3.0374 4.0289 7.2006
angles: 90.00 90.10 90.00
Space group P2/m (No. 10)
Inequivalent atoms, fractional coordinates:
Tl  0.0000  0.0000  0.0000 x1
W  0.5000  0.0000  0.5000 x1
Cl  0.5002  0.5000  0.3013 x2


No. 3
Entry from Alexandria: a relaxed structure of TbAl2Os (PBE).

Computed properties:
For the total magnetization, the calculation gives 0.00 Bohr magnetons per cell. The crystal system is tetragonal. The formation energy is -381 meV/atom.

abc: 3.1483 3.1483 7.2814
angles: 90.00 90.00 90.00
Space group P4/mmm (No. 123)
Inequivalent atoms, fractional coordinates:
Tb  0.0000  0.0000  0.0000 x1
Al  0.5000  0.5000  0.3132 x2
Os  0.0000  0.0000  0.5000 x1


No. 4
Entry from Alexandria: a relaxed structure of Pu3GeBi (PBE).

Computed properties:
For the total magnetization, the calculation gives 35.94 Bohr magnetons per cell. The crystal system is hexagonal. The calculation puts the relative energy among the computed polymorphs at 0.000 eV/f.u. The formation energy is -215 meV/atom.

abc: 7.4498 7.4498 5.7822
angles: 90.00 90.00 120.00
Space group P6_3/mmc (No. 194)
Inequivalent atoms, fractional coordinates:
Pu  0.1926  0.3853  0.2500 x6
Ge  0.0000  0.0000  0.0000 x2
Bi  0.3333  0.6667  0.7500 x2


No. 5
Entry from Alexandria: a relaxed structure of Hg2WSe (PBE).

Computed properties:
For the total magnetization, the calculation gives 2.41 Bohr magnetons per cell. The crystal system is tetragonal. The formation energy without anion corrections comes out at 22.4 kcal/mol of atoms.

abc: 4.1270 4.1270 4.8039
angles: 90.00 90.00 90.00
Space group P4/mmm (No. 123)
Inequivalent atoms, fractional coordinates:
Hg  0.0000  0.5000  0.0000 x2
W  0.0000  0.0000  0.5000 x1
Se  0.5000  0.5000  0.5000 x1


No. 6
Entry from Alexandria: a relaxed structure of Rb2PaGe2O6 (PBE).

Computed properties:
For the total magnetization, the calculation gives 2.04 Bohr magnetons per cell. The crystal system is monoclinic. The formation energy without anion corrections comes out at -49.8 kcal/mol of atoms.

abc: 10.3113 6.0392 7.1866
angles: 90.00 113.81 90.00
Space group C2/m (No. 12)
Inequivalent atoms, fractional coordinates:
Rb  0.2301  0.0000  0.1933 x4
Pa  0.0000  0.0000  0.5000 x2
Ge  0.0762  0.5000  0.2060 x4
O  0.0007  0.2593  0.2835 x8
O  0.2299  0.0000  0.6227 x4